(1)
Crystalline Ce2BeSiRh6 at its relaxed geometry, computed with PBE.

Lattice parameters (Å, degrees): 6.1904 6.1904 6.1904 60.00 60.00 60.00
Fractional positions:
Ce 0.2500 0.2500 0.2500
Ce 0.7500 0.7500 0.7500
Be 0.0000 0.0000 0.0000
Si 0.5000 0.5000 0.5000
Rh 0.2428 0.2428 0.7572
Rh 0.2428 0.7572 0.2428
Rh 0.2428 0.7572 0.7572
Rh 0.7572 0.2428 0.2428
Rh 0.7572 0.2428 0.7572
Rh 0.7572 0.7572 0.2428

Computed properties:
**SG**: Fm-3m, No. 225
**D(E_F)**: 0.81 states/eV per atom
**Final energy**: -7.17 eV per atom
**Uncorrected formation energy**: -0.6572 eV per atom

=====

(2)
Crystalline Tb4UO10 at its relaxed geometry, computed with PBE.

Lattice parameters (Å, degrees): 6.6507 6.6507 6.6507 99.14 99.14 133.04
Fractional positions:
Tb 0.0993 0.7006 0.8000
Tb 0.2994 0.0993 0.3987
Tb 0.7006 0.9007 0.6013
Tb 0.9007 0.2994 0.2000
U 0.5000 0.5000 0.0000
O 0.0725 0.3576 0.9076
O 0.1648 0.0725 0.7149
O 0.2500 0.7500 0.5000
O 0.3576 0.4499 0.2851
O 0.4499 0.1648 0.0924
O 0.5501 0.8352 0.9076
O 0.6424 0.5501 0.7149
O 0.7500 0.2500 0.5000
O 0.8352 0.9275 0.2851
O 0.9275 0.6424 0.0924

Computed properties:
**SG**: I4/m, No. 87
**D(E_F)**: 0.74 states/eV per atom
**Final energy**: -8.46 eV per atom
**Uncorrected formation energy**: -3.1675 eV per atom

=====

(3)
Crystalline LaPaN2 at its relaxed geometry, computed with PBE.

Lattice parameters (Å, degrees): 6.2920 6.2920 6.2920 33.25 33.25 33.25
Fractional positions:
La 0.0000 0.0000 0.0000
Pa 0.5000 0.5000 0.5000
N 0.2328 0.2328 0.2328
N 0.7672 0.7672 0.7672

Computed properties:
**SG**: R-3m, No. 166
**D(E_F)**: 0.41 states/eV per atom
**Offset from the most stable computed form**: 0 meV per atom
**Final energy**: -9.35 eV per atom
**Uncorrected formation energy**: -1.5792 eV per atom